Version w
DFT (PBE) results for a relaxed structure of Li6InPd12.

Output
D(E_F) = 10.0 states/eV/f.u.
V = 307.34 Å³/cell
spin magnetization = 0.0 μB per formula unit

The structure in CIF format:
```
data_Li6InPd12
_chemical_formula_sum 'Li6 In1 Pd12'
_cell_length_a 7.185
_cell_length_b 7.185
_cell_length_c 7.185
_cell_angle_alpha 107.18
_cell_angle_beta 107.18
_cell_angle_gamma 107.18
_symmetry_space_group_name_H-M 'P 1'
_symmetry_Int_Tables_number 1
loop_
_symmetry_equiv_pos_as_xyz
'x,y,z'
loop_
_atom_site_label
_atom_site_fract_x
_atom_site_fract_y
_atom_site_fract_z
_atom_site_occupancy
Li1 0.352 0.641 0.764 1
Li2 0.359 0.236 0.648 1
Li3 0.236 0.648 0.359 1
Li4 0.641 0.764 0.352 1
Li5 0.648 0.359 0.236 1
Li6 0.764 0.352 0.641 1
Pd1 0.687 0.573 0.981 1
Pd2 0.313 0.427 0.019 1
Pd3 0.962 0.098 0.666 1
Pd4 0.334 0.038 0.902 1
Pd5 0.427 0.019 0.313 1
Pd6 0.573 0.981 0.687 1
Pd7 0.019 0.313 0.427 1
Pd8 0.981 0.687 0.573 1
Pd9 0.098 0.666 0.962 1
Pd10 0.666 0.962 0.098 1
Pd11 0.902 0.334 0.038 1
Pd12 0.038 0.902 0.334 1
In1 0.000 0.000 0.000 1
```

***

Version x
DFT (PBE) results for a relaxed structure of Li6InPd12.

Output
D(E_F) = 14.1 states/eV/f.u.
V = 284.59 Å³/cell
spin magnetization = 0.0 μB per formula unit

The structure in CIF format:
```
data_Li6InPd12
_chemical_formula_sum 'Li6 In1 Pd12'
_cell_length_a 6.780
_cell_length_b 7.320
_cell_length_c 7.320
_cell_angle_alpha 69.08
_cell_angle_beta 72.02
_cell_angle_gamma 107.98
_symmetry_space_group_name_H-M 'P 1'
_symmetry_Int_Tables_number 1
loop_
_symmetry_equiv_pos_as_xyz
'x,y,z'
loop_
_atom_site_label
_atom_site_fract_x
_atom_site_fract_y
_atom_site_fract_z
_atom_site_occupancy
Pd1 0.265 0.431 0.631 1
Pd2 0.682 0.892 0.838 1
Pd3 0.166 0.062 0.569 1
Pd4 0.790 0.271 0.892 1
Pd5 0.735 0.569 0.369 1
Pd6 0.210 0.729 0.108 1
Pd7 0.896 0.631 0.938 1
Pd8 0.519 0.838 0.271 1
Pd9 0.104 0.369 0.062 1
Pd10 0.481 0.162 0.729 1
Pd11 0.318 0.108 0.162 1
Pd12 0.834 0.938 0.431 1
Li1 0.567 0.514 0.792 1
Li2 0.640 0.208 0.306 1
Li3 0.433 0.486 0.208 1
Li4 0.947 0.306 0.486 1
Li5 0.053 0.694 0.514 1
Li6 0.360 0.792 0.694 1
In1 0.000 0.000 0.000 1
```

***

Most favorable structure: version x. The second most favorable one is 12.5 kJ/mol of atoms above it.